# 1
Rb4Na2Hg (PBE, optimized geometry); crystal system = monoclinic; calculated total energy = -1.02 eV per atom; energy relative to the lowest polymorph listed for this composition = 0.00 eV/f.u.; ΔH_f (0 K) = -0.04 eV/atom
1.0
-6.1238 2.2343 1.4887
0.0206 -4.8010 7.2900
5.9351 6.2865 -0.0370
Rb Na Hg
4 2 1
direct
0.1674 0.7919 0.3347 Rb
0.8326 0.2081 0.6653 Rb
0.4637 0.7365 0.9273 Rb
0.5363 0.2635 0.0727 Rb
0.1989 0.3264 0.3978 Na
0.8011 0.6736 0.6022 Na
0.0000 0.0000 0.0000 Hg

# 2
RbNaHg2Rh (PBE, optimized geometry); crystal system = tetragonal; calculated total energy = -2.11 eV per atom; ΔH_f (0 K) = -0.06 eV/atom
1.0
-0.3893 -5.3183 -0.4482
5.3039 -0.4356 0.5623
-0.6034 -0.4088 5.3750
Na Rh Hg Rb
1 1 2 1
direct
0.0000 0.0000 0.5000 Na
0.0000 0.0000 0.0000 Rh
0.0000 0.5000 0.0000 Hg
0.5000 0.0000 0.0000 Hg
0.5000 0.5000 0.5000 Rb

# 3
Rb2NaHgS (PBE, optimized geometry); uncorrected formation energy = -278 kJ/mol of formula units; crystal system = tetragonal; calculated total energy = -2.11 eV per atom
1.0
6.5323 0.0000 0.0000
0.0000 6.5323 0.0000
0.0000 0.0000 5.2641
Na S Hg Rb
1 1 1 2
direct
0.0000 0.0000 0.5000 Na
0.0000 0.0000 0.0000 S
0.5000 0.5000 0.5000 Hg
0.0000 0.5000 0.0000 Rb
0.5000 0.0000 0.0000 Rb

# 4
RbNaHg2Sb (PBE, optimized geometry); uncorrected formation energy = -140 kJ/mol of formula units; crystal system = orthorhombic; calculated total energy = -1.69 eV per atom; energy relative to the lowest polymorph listed for this composition = 0.00 eV/f.u.
1.0
-3.8676 2.5546 2.4632
-3.3420 -2.5650 -2.5873
3.5326 -4.5112 4.6327
Rb Na Hg Sb
1 1 2 1
direct
0.4405 0.4405 0.8810 Rb
0.2027 0.7027 0.4055 Na
0.6913 0.1913 0.3827 Hg
0.0532 0.0532 0.1065 Hg
0.8244 0.8244 0.6487 Sb

# 5
RbNa2HgSb (PBE, optimized geometry); uncorrected formation energy = -83 kJ/mol of formula units; crystal system = tetragonal; calculated total energy = -1.78 eV per atom; energy relative to the lowest polymorph listed for this composition = 0.29 eV/f.u.
1.0
-4.6111 -1.8040 -3.3323
-2.3480 -2.7592 4.7428
-2.9789 4.9832 1.4243
Sb Hg Rb Na
1 1 1 2
direct
0.0000 0.0000 0.0000 Sb
0.0000 0.0000 0.5000 Hg
0.5000 0.5000 0.5000 Rb
0.0000 0.5000 0.0000 Na
0.5000 0.0000 0.0000 Na

# 6
RbNa2HgSb (PBE, optimized geometry); uncorrected formation energy = -111 kJ/mol of formula units; crystal system = tetragonal; calculated total energy = -1.84 eV per atom; energy relative to the lowest polymorph listed for this composition = 0.00 eV/f.u.
1.0
-4.6776 -1.4276 -3.3894
0.3224 -5.6218 1.9229
-4.3980 1.5942 5.3981
Sb Hg Rb Na
1 1 1 2
direct
0.0000 0.0000 0.0000 Sb
0.5000 0.5000 0.5000 Hg
0.0000 0.0000 0.5000 Rb
0.0000 0.5000 0.0000 Na
0.5000 0.0000 0.0000 Na

# 7
RbNaHg2Sb (PBE, optimized geometry); uncorrected formation energy = -64 kJ/mol of formula units; crystal system = tetragonal; calculated total energy = -1.53 eV per atom; energy relative to the lowest polymorph listed for this composition = 0.79 eV/f.u.
1.0
5.9093 0.0000 0.0000
0.0000 5.9093 0.0000
0.0000 0.0000 5.7904
Sb Hg Rb Na
1 2 1 1
direct
0.0000 0.0000 0.0000 Sb
0.0000 0.5000 0.0000 Hg
0.5000 0.0000 0.0000 Hg
0.5000 0.5000 0.5000 Rb
0.0000 0.0000 0.5000 Na

# 8
RbNaHgSb (PBE, optimized geometry); uncorrected formation energy = -87 kJ/mol of formula units; crystal system = orthorhombic; calculated total energy = -1.90 eV per atom; energy relative to the lowest polymorph listed for this composition = 0.00 eV/f.u.
1.0
4.9449 0.0000 0.0000
0.0000 5.1955 0.0000
0.0000 -2.5977 6.2548
Rb Na Hg Sb
1 1 1 1
direct
0.5000 0.2020 0.4040 Rb
0.0000 0.9399 0.8797 Na
0.5000 0.4844 0.9688 Hg
0.0000 0.6016 0.2031 Sb

# 9
RbNaHgSb (PBE, optimized geometry); uncorrected formation energy = -85 kJ/mol of formula units; crystal system = cubic; calculated total energy = -1.90 eV per atom; energy relative to the lowest polymorph listed for this composition = 0.01 eV/f.u.
1.0
5.6310 0.0000 0.0000
2.8155 4.8766 0.0000
2.8155 1.6255 4.5977
Sb Hg Rb Na
1 1 1 1
direct
0.2500 0.2500 0.2500 Sb
0.5000 0.5000 0.5000 Hg
0.7500 0.7500 0.7500 Rb
0.0000 0.0000 0.0000 Na

# 10
RbNa2Hg2Sb2 (PBE, optimized geometry); uncorrected formation energy = -211 kJ/mol of formula units; crystal system = trigonal; calculated total energy = -2.09 eV per atom
1.0
-4.6793 -0.5289 2.1379
-2.1493 -4.6876 0.3913
1.9761 -2.9363 9.8542
Rb Na Hg Sb
1 2 2 2
direct
0.0000 0.0000 0.0000 Rb
0.1371 0.1371 0.5886 Na
0.8629 0.8629 0.4114 Na
0.5759 0.5759 0.2723 Hg
0.4241 0.4241 0.7277 Hg
0.7544 0.7544 0.7369 Sb
0.2456 0.2456 0.2631 Sb

# 11
RbNaHg2Sb2 (PBE, optimized geometry); uncorrected formation energy = -180 kJ/mol of formula units; crystal system = trigonal; calculated total energy = -2.17 eV per atom
1.0
-4.2657 2.2472 -0.7163
2.3128 -2.0904 -3.7471
-4.7037 -8.3662 1.7642
Rb Na Hg Sb
1 1 2 2
direct
0.0000 0.0000 0.0000 Rb
0.0000 0.0000 0.5000 Na
0.6667 0.3333 0.6811 Hg
0.3333 0.6667 0.3189 Hg
0.6667 0.3333 0.2717 Sb
0.3333 0.6667 0.7283 Sb

# 12
Rb2NaHgSb (PBE, optimized geometry); uncorrected formation energy = -104 kJ/mol of formula units; crystal system = tetragonal; calculated total energy = -1.75 eV per atom
1.0
7.1494 0.0000 0.0000
0.0000 7.1494 0.0000
0.0000 0.0000 5.9233
Sb Hg Rb Na
1 1 2 1
direct
0.0000 0.0000 0.0000 Sb
0.5000 0.5000 0.5000 Hg
0.0000 0.5000 0.0000 Rb
0.5000 0.0000 0.0000 Rb
0.0000 0.0000 0.5000 Na

# 13
RbNa2HgSe2 (PBE, optimized geometry); uncorrected formation energy = -419 kJ/mol of formula units; crystal system = orthorhombic; calculated total energy = -2.54 eV per atom
1.0
-4.2800 2.7824 1.3763
-4.7587 -5.0937 -4.5010
-1.0216 -4.7829 6.4928
Rb Na Hg Se
2 4 2 4
direct
0.5000 0.5000 0.0000 Rb
0.0000 0.0000 0.5000 Rb
0.5000 0.1539 0.2722 Na
0.0000 0.6539 0.2278 Na
0.5000 0.8461 0.7278 Na
0.0000 0.3461 0.7722 Na
0.0000 0.0000 0.0000 Hg
0.5000 0.5000 0.5000 Hg
0.5000 0.7914 0.3130 Se
0.5000 0.2086 0.6870 Se
0.0000 0.7086 0.8130 Se
0.0000 0.2914 0.1870 Se

# 14
RbNaHgSe2 (PBE, optimized geometry); uncorrected formation energy = -391 kJ/mol of formula units; crystal system = orthorhombic; calculated total energy = -2.72 eV per atom
1.0
-1.5440 -0.8654 6.2170
-3.4540 -5.6216 -1.6403
7.9814 -1.3175 1.7987
Rb Na Hg Se
2 2 2 4
direct
0.2214 0.7500 0.5000 Rb
0.7786 0.2500 0.5000 Rb
0.5000 0.7500 0.0000 Na
0.5000 0.2500 0.0000 Na
0.0000 0.0000 0.0000 Hg
0.0000 0.5000 0.0000 Hg
0.7410 0.8786 0.7571 Se
0.7410 0.6214 0.2429 Se
0.2590 0.3786 0.7571 Se
0.2590 0.1214 0.2429 Se

# 15
RbNaHgSe (PBE, optimized geometry); uncorrected formation energy = -258 kJ/mol of formula units; crystal system = cubic; calculated total energy = -2.19 eV per atom
1.0
-4.7015 -2.9614 0.7558
-0.2654 -3.8492 4.0693
-3.1926 0.9127 4.5188
Na Se Hg Rb
1 1 1 1
direct
0.0000 0.0000 0.0000 Na
0.2500 0.2500 0.2500 Se
0.7500 0.7500 0.7500 Hg
0.5000 0.5000 0.5000 Rb

# 16
RbNa2SiHg (PBE, optimized geometry); uncorrected formation energy = 25 kJ/mol of formula units; crystal system = tetragonal; calculated total energy = -1.81 eV per atom
1.0
-2.9023 0.1891 5.0446
3.9628 -3.5193 2.4119
2.7630 4.0954 1.4362
Na Si Hg Rb
2 1 1 1
direct
0.0000 0.5000 0.0000 Na
0.5000 0.0000 0.0000 Na
0.0000 0.0000 0.0000 Si
0.0000 0.0000 0.5000 Hg
0.5000 0.5000 0.5000 Rb

# 17
RbNaSiHg2 (PBE, optimized geometry); uncorrected formation energy = 20 kJ/mol of formula units; crystal system = tetragonal; calculated total energy = -1.62 eV per atom
1.0
-4.4774 -2.8049 -1.0948
2.3272 -1.9790 -4.4476
1.9848 -4.3248 2.9629
Na Si Hg Rb
1 1 2 1
direct
0.0000 0.0000 0.5000 Na
0.0000 0.0000 0.0000 Si
0.0000 0.5000 0.0000 Hg
0.5000 0.0000 0.0000 Hg
0.5000 0.5000 0.5000 Rb

# 18
RbNaSnHg (PBE, optimized geometry); crystal system = cubic; calculated total energy = -1.76 eV per atom; ΔH_f (0 K) = -0.11 eV/atom
1.0
5.5854 0.0000 0.0000
2.7927 4.8371 0.0000
2.7927 1.6124 4.5605
Na Hg Rb Sn
1 1 1 1
direct
0.5000 0.5000 0.5000 Na
0.0000 0.0000 0.0000 Hg
0.2500 0.2500 0.2500 Rb
0.7500 0.7500 0.7500 Sn

# 19
Rb2NaSnHg6 (PBE, optimized geometry); crystal system = cubic; calculated total energy = -0.98 eV per atom; ΔH_f (0 K) = -0.07 eV/atom
1.0
-1.1935 -7.8758 -2.1561
8.1362 -1.3318 0.3607
2.9819 -6.0701 4.7291
Rb Na Sn Hg
2 1 1 6
direct
0.2500 0.7500 0.5000 Rb
0.7500 0.2500 0.5000 Rb
0.5000 0.5000 0.0000 Na
0.0000 0.0000 0.0000 Sn
0.2530 0.7470 0.0000 Hg
0.7469 0.7469 0.0000 Hg
0.2530 0.2530 0.4939 Hg
0.7470 0.2530 0.0000 Hg
0.2531 0.2531 0.0000 Hg
0.7470 0.7470 0.5061 Hg

# 20
RbNaSrHg (PBE, optimized geometry); crystal system = cubic; calculated total energy = -1.13 eV per atom; ΔH_f (0 K) = -0.06 eV/atom
1.0
-3.2762 -0.2672 -5.2903
1.3338 -4.3300 -4.2737
-3.9422 -4.7200 -0.9867
Sr Hg Rb Na
1 1 1 1
direct
0.0000 0.0000 0.0000 Sr
0.2500 0.2500 0.2500 Hg
0.5000 0.5000 0.5000 Rb
0.7500 0.7500 0.7500 Na

# 21
RbNaHgTe2 (PBE, optimized geometry); uncorrected formation energy = -333 kJ/mol of formula units; crystal system = orthorhombic; calculated total energy = -2.47 eV per atom
1.0
6.9597 0.0000 0.0000
0.0000 7.0443 0.0000
0.0000 -3.5221 8.0360
Rb Na Hg Te
2 2 2 4
direct
0.2158 0.7500 0.5000 Rb
0.7842 0.2500 0.5000 Rb
0.5000 0.7500 0.0000 Na
0.5000 0.2500 0.0000 Na
0.0000 0.0000 0.0000 Hg
0.0000 0.5000 0.0000 Hg
0.7447 0.8759 0.7518 Te
0.7447 0.6241 0.2482 Te
0.2553 0.3759 0.7518 Te
0.2553 0.1241 0.2482 Te

# 22
RbNaHgTe (PBE, optimized geometry); uncorrected formation energy = -253 kJ/mol of formula units; crystal system = cubic; calculated total energy = -2.09 eV per atom
1.0
-5.3690 -0.2212 2.2595
-1.1857 -3.7076 4.3392
-0.9853 2.0252 5.3767
Na Te Hg Rb
1 1 1 1
direct
0.7500 0.7500 0.7500 Na
0.5000 0.5000 0.5000 Te
0.0000 0.0000 0.0000 Hg
0.2500 0.2500 0.2500 Rb

# 23
RbNaTl2Hg (PBE, optimized geometry); crystal system = tetragonal; calculated total energy = -1.44 eV per atom; energy relative to the lowest polymorph listed for this composition = 0.76 eV/f.u.; ΔH_f (0 K) = 0.03 eV/atom
1.0
5.8795 0.0000 0.0000
0.0000 5.8795 0.0000
0.0000 0.0000 5.9174
Na Tl Hg Rb
1 2 1 1
direct
0.0000 0.0000 0.5000 Na
0.0000 0.5000 0.0000 Tl
0.5000 0.0000 0.0000 Tl
0.0000 0.0000 0.0000 Hg
0.5000 0.5000 0.5000 Rb

# 24
Rb2NaTl4Hg3 (PBE, optimized geometry); crystal system = tetragonal; calculated total energy = -1.47 eV per atom; ΔH_f (0 K) = -0.11 eV/atom
1.0
5.1258 0.0000 0.0000
0.0000 5.1258 0.0000
0.0000 0.0000 13.5153
Rb Na Tl Hg
2 1 4 3
direct
0.5000 0.0000 0.2426 Rb
0.0000 0.5000 0.7574 Rb
0.5000 0.5000 0.5000 Na
0.5000 0.5000 0.0000 Tl
0.0000 0.0000 0.0000 Tl
0.5000 0.0000 0.6379 Tl
0.0000 0.5000 0.3621 Tl
0.0000 0.0000 0.5000 Hg
0.5000 0.0000 0.8627 Hg
0.0000 0.5000 0.1373 Hg

# 25
Rb2Na2TlHg (PBE, optimized geometry); crystal system = orthorhombic; calculated total energy = -1.27 eV per atom; ΔH_f (0 K) = -0.06 eV/atom
1.0
-7.0716 -0.5360 1.3982
0.3112 -8.6599 -1.7457
5.1581 2.9746 8.5435
Rb Na Tl Hg
4 4 2 2
direct
0.6591 0.9058 0.3182 Rb
0.1591 0.4124 0.3182 Rb
0.8409 0.5876 0.6818 Rb
0.3409 0.0942 0.6818 Rb
0.4171 0.6583 0.8342 Na
0.5829 0.3417 0.1658 Na
0.0829 0.8241 0.1658 Na
0.9171 0.1759 0.8342 Na
0.2500 0.0000 0.0000 Tl
0.7500 0.0000 0.0000 Tl
0.7500 0.5000 0.0000 Hg
0.2500 0.5000 0.0000 Hg

# 26
RbNaTl2Hg (PBE, optimized geometry); crystal system = orthorhombic; calculated total energy = -1.59 eV per atom; energy relative to the lowest polymorph listed for this composition = 0.00 eV/f.u.; ΔH_f (0 K) = -0.13 eV/atom
1.0
5.2938 0.0000 0.0000
0.0000 5.0739 0.0000
-2.6469 -2.5370 6.7018
Rb Na Tl Hg
1 1 2 1
direct
0.4396 0.4396 0.8792 Rb
0.1989 0.6989 0.3978 Na
0.6895 0.1895 0.3789 Tl
0.0561 0.0561 0.1122 Tl
0.8280 0.8280 0.6561 Hg

# 27
Rb2NaTlHg2 (PBE, optimized geometry); crystal system = orthorhombic; calculated total energy = -1.21 eV per atom; ΔH_f (0 K) = -0.17 eV/atom
1.0
7.0543 0.0000 0.0000
0.0000 7.8397 0.0000
-3.5271 -3.9198 8.6888
Rb Na Tl Hg
4 2 2 4
direct
0.4285 0.1738 0.3476 Rb
0.5715 0.8262 0.6524 Rb
0.0810 0.3262 0.6524 Rb
0.9190 0.6738 0.3476 Rb
0.5000 0.7500 0.0000 Na
0.5000 0.2500 0.0000 Na
0.0000 0.7500 0.0000 Tl
0.0000 0.2500 0.0000 Tl
0.8654 0.1029 0.2057 Hg
0.3404 0.6029 0.2057 Hg
0.6596 0.3971 0.7943 Hg
0.1346 0.8971 0.7943 Hg